(1)
The following is a PBE calculation of an optimized crystal structure of Cd3W, from Alexandria.

a = 9.7279 Å, b = 9.7279 Å, c = 2.8243 Å
α = 90.00°, β = 90.00°, γ = 120.00°
Space group R-3m (No. 166, hexagonal axes)
Inequivalent atoms, fractional coordinates:
Cd1 0.0000 0.5000 0.0000 x9
W1 0.0000 0.0000 0.0000 x3

Properties
The energy above the most stable polymorph in this dataset comes out at 0.126 eV per atom. The calculation puts the uncorrected energy at -0.2509 Ry/atom.



(2)
The following is a PBE calculation of an optimized crystal structure of PuZr2Re, from Alexandria.

a = 3.290 Å, b = 3.290 Å, c = 7.856 Å
α = 90.00°, β = 90.00°, γ = 90.00°
Space group P4/mmm (No. 123)
Inequivalent atoms, fractional coordinates:
Pu1 0.000 0.000 0.000 x1
Zr1 0.500 0.500 0.294 x2
Re1 0.000 0.000 0.500 x1

Properties
The energy above the most stable polymorph in this dataset comes out at 0.000 eV per atom. The calculation puts the uncorrected energy at -0.8084 Ry/atom.



(3)
The following is a PBE calculation of an optimized crystal structure of MgAlZn2, from Alexandria.

a = 9.778 Å, b = 2.926 Å, c = 4.842 Å
α = 90.00°, β = 99.21°, γ = 90.00°
Space group Cm (No. 8)
Inequivalent atoms, fractional coordinates:
Mg1 0.000 0.000 0.000 x2
Al1 0.243 0.000 0.720 x2
Zn1 0.252 0.500 0.232 x2
Zn2 0.496 0.000 0.497 x2

Properties
The calculation puts the uncorrected energy at -0.1451 Ry/atom.



(4)
The following is a PBE calculation of an optimized crystal structure of RbCuH2Au, from Alexandria.

a = 4.118 Å, b = 4.118 Å, c = 5.022 Å
α = 90.00°, β = 90.00°, γ = 90.00°
Space group P4/mmm (No. 123)
Inequivalent atoms, fractional coordinates:
Rb1 0.000 0.000 0.000 x1
Cu1 0.500 0.500 0.000 x1
H1 0.000 0.500 0.500 x2
Au1 0.500 0.500 0.500 x1

Properties
The calculation puts the uncorrected energy at -0.1976 Ry/atom.



(5)
The following is a PBE calculation of an optimized crystal structure of Cd2Bi2Pd, from Alexandria.

a = 7.375 Å, b = 7.375 Å, c = 4.981 Å
α = 90.00°, β = 90.00°, γ = 90.00°
Space group P4/mbm (No. 127)
Inequivalent atoms, fractional coordinates:
Cd1 0.157 0.343 0.000 x4
Bi1 0.159 0.659 0.500 x4
Pd1 0.000 0.000 0.500 x2

Properties
The energy above the most stable polymorph in this dataset comes out at 0.182 eV per atom. The calculation puts the uncorrected energy at -0.2144 Ry/atom.



(6)
The following is a PBE calculation of an optimized crystal structure of BeSbSeI2, from Alexandria.

a = 5.883 Å, b = 5.883 Å, c = 5.474 Å
α = 90.00°, β = 90.00°, γ = 90.00°
Space group P4/mmm (No. 123)
Inequivalent atoms, fractional coordinates:
Be1 0.000 0.000 0.000 x1
Sb1 0.500 0.500 0.000 x1
Se1 0.500 0.500 0.500 x1
I1 0.000 0.500 0.500 x2

Properties
The energy above the most stable polymorph in this dataset comes out at 0.504 eV per atom. The uncorrected formation energy is 970 meV/atom. The calculation puts the uncorrected energy at -0.1409 Ry/atom.



What is the formula in the fourth record?
RbCuH2Au